DFT (PBE-GGA) results for a relaxed structure of Ho2Cu2Ru.

```
Ho2Cu2Ru
1.0
-2.995 5.980 2.970
2.995 -5.980 2.970
2.995 5.980 -2.970
Ho Cu Ru
4 4 2
Cartesian
1.345 1.721 0.000
1.345 -1.721 2.970
1.650 7.701 0.000
1.650 4.259 2.970
4.468 1.419 0.000
1.474 4.561 0.000
1.521 1.419 2.970
-1.474 4.561 2.970
2.995 0.000 1.485
0.000 5.980 1.485
```

* VASP energy: -5.419 eV per atom
* spin magnetization: 0.00 μB/cell
* formation enthalpy at 0 K: -0.09 eV/atom
* crystal system: orthorhombic


DFT (PBE-GGA) results for a relaxed structure of Ho3Cu2Ru.

```
Ho3Cu2Ru
1.0
4.838 0.000 0.000
-2.419 4.190 0.000
0.000 0.000 5.977
Ho Cu Ru
3 2 1
Cartesian
0.000 0.000 0.000
0.000 2.793 3.945
2.419 1.397 2.032
0.000 2.793 1.000
2.419 1.397 4.977
0.000 0.000 2.988
```

* VASP energy: -5.523 eV per atom
* spin magnetization: 0.00 μB/cell
* formation enthalpy at 0 K: -0.32 eV/atom
* crystal system: trigonal


DFT (PBE-GGA) results for a relaxed structure of Ho12CuRu6.

```
Ho12CuRu6
1.0
6.179 3.567 3.744
-6.179 3.567 3.744
0.000 -7.135 3.744
Ho Cu Ru
12 1 6
Cartesian
-3.810 -3.965 6.163
-5.339 1.318 5.069
-1.484 -1.906 4.348
1.528 -5.282 5.069
-0.909 2.238 4.348
-2.392 0.332 6.883
2.392 -0.332 4.348
0.909 -2.238 6.883
-1.528 5.282 6.163
1.484 1.906 6.883
5.339 -1.318 6.163
3.810 3.965 5.069
0.000 0.000 0.000
-2.981 0.540 3.935
1.023 -2.852 3.935
-1.958 -2.312 7.296
1.958 2.312 3.935
-1.023 2.852 7.296
2.981 -0.540 7.296
```

* VASP energy: -6.214 eV per atom
* spin magnetization: 0.00 μB/cell
* formation enthalpy at 0 K: -0.18 eV/atom
* crystal system: trigonal


DFT (PBE-GGA) results for a relaxed structure of HoCuRu.

```
HoCuRu
1.0
5.068 0.000 0.000
0.000 5.199 0.000
0.000 0.000 7.808
Ho Cu Ru
4 4 4
Cartesian
0.000 1.300 0.990
0.000 3.899 6.818
2.534 1.300 2.914
2.534 3.899 4.894
1.267 1.300 5.856
1.267 3.899 1.952
3.801 1.300 5.856
3.801 3.899 1.952
0.000 0.000 3.904
0.000 2.600 3.904
2.534 0.000 0.000
2.534 2.600 0.000
```

* VASP energy: -6.302 eV per atom
* spin magnetization: 0.00 μB/cell
* formation enthalpy at 0 K: -0.32 eV/atom
* crystal system: orthorhombic
* polymorph energy (0 for the lowest one): 0.0 meV per atom


DFT (PBE-GGA) results for a relaxed structure of Ho4Cu2Ru.

```
Ho4Cu2Ru
1.0
2.422 1.398 7.872
-2.422 1.398 7.872
0.000 -2.796 7.872
Ho Cu Ru
4 2 1
Cartesian
0.000 0.000 2.898
0.000 0.000 8.839
0.000 0.000 14.777
0.000 0.000 20.718
0.000 0.000 5.934
0.000 0.000 17.682
0.000 0.000 0.000
```

* VASP energy: -5.333 eV per atom
* spin magnetization: 0.00 μB/cell
* formation enthalpy at 0 K: -0.22 eV/atom
* crystal system: trigonal


DFT (PBE-GGA) results for a relaxed structure of Ho4CuRu3.

```
Ho4CuRu3
1.0
4.813 0.000 0.000
0.000 4.813 0.000
0.000 0.000 6.799
Ho Cu Ru
4 1 3
Cartesian
0.000 2.406 1.666
0.000 2.406 5.133
2.406 0.000 1.666
2.406 0.000 5.133
0.000 0.000 3.400
0.000 0.000 0.000
2.406 2.406 0.000
2.406 2.406 3.400
```

* VASP energy: -6.668 eV per atom
* spin magnetization: 0.00 μB/cell
* formation enthalpy at 0 K: -0.39 eV/atom
* crystal system: tetragonal


DFT (PBE-GGA) results for a relaxed structure of Ho6Cu5Ru.

```
Ho6Cu5Ru
1.0
2.438 -7.313 0.000
2.438 7.313 0.000
0.000 0.000 6.862
Ho Cu Ru
6 5 1
Cartesian
0.000 0.000 1.673
0.000 0.000 5.190
2.438 2.401 1.694
2.438 2.401 5.168
2.438 -2.401 1.694
2.438 -2.401 5.168
2.438 4.909 3.431
2.438 4.862 0.000
2.438 0.000 3.431
2.438 -4.862 0.000
2.438 -4.909 3.431
2.438 0.000 0.000
```

* VASP energy: -5.067 eV per atom
* spin magnetization: 0.00 μB/cell
* formation enthalpy at 0 K: -0.30 eV/atom
* crystal system: orthorhombic


DFT (PBE-GGA) results for a relaxed structure of Ho8Cu2Ru.

```
Ho8Cu2Ru
1.0
8.544 -2.539 0.000
8.544 2.539 0.000
-2.002 0.000 6.359
Ho Cu Ru
8 2 1
Cartesian
-0.041 0.000 1.870
1.740 0.000 5.208
4.645 0.000 3.327
6.871 0.000 0.376
8.215 0.000 5.983
10.441 0.000 3.032
13.346 0.000 1.151
15.128 0.000 4.489
2.704 0.000 1.373
12.382 0.000 4.986
7.543 0.000 3.179
```

* VASP energy: -5.104 eV per atom
* spin magnetization: 0.00 μB/cell
* formation enthalpy at 0 K: -0.19 eV/atom
* crystal system: monoclinic
* polymorph energy (0 for the lowest one): 0.0 meV per atom


DFT (PBE-GGA) results for a relaxed structure of HoCuRu.

```
HoCuRu
1.0
8.418 0.000 0.000
0.000 5.317 0.000
-1.636 0.000 4.865
Ho Cu Ru
4 4 4
Cartesian
0.577 0.000 1.864
1.996 2.659 3.001
4.786 2.659 1.864
6.205 0.000 3.001
2.105 1.329 0.000
2.105 3.988 0.000
6.314 1.329 0.000
6.314 3.988 0.000
-0.337 2.659 1.309
2.910 0.000 3.557
3.873 0.000 1.309
7.119 2.659 3.557
```

* VASP energy: -5.962 eV per atom
* spin magnetization: 0.00 μB/cell
* formation enthalpy at 0 K: 0.02 eV/atom
* crystal system: monoclinic
* polymorph energy (0 for the lowest one): 340.6 meV per atom


DFT (PBE-GGA) results for a relaxed structure of Ho12Cu6Ru.

```
Ho12Cu6Ru
1.0
6.087 3.514 3.951
-6.087 3.514 3.951
0.000 -7.028 3.951
Ho Cu Ru
12 6 1
Cartesian
-3.925 -3.934 6.437
-5.370 1.432 5.417
-1.381 -1.854 4.634
1.445 -5.366 5.417
-0.915 2.123 4.634
-2.296 0.269 7.221
2.296 -0.269 4.634
0.915 -2.123 7.221
-1.445 5.366 6.437
1.381 1.854 7.221
5.370 -1.432 6.437
3.925 3.934 5.417
-3.036 0.454 4.212
1.125 -2.856 4.212
-1.911 -2.403 7.642
1.911 2.403 4.212
-1.125 2.856 7.642
3.036 -0.454 7.642
0.000 0.000 0.000
```

* VASP energy: -4.693 eV per atom
* spin magnetization: 0.00 μB/cell
* formation enthalpy at 0 K: -0.02 eV/atom
* crystal system: trigonal


DFT (PBE-GGA) results for a relaxed structure of Ho4CuRu.

```
Ho4CuRu
1.0
3.427 0.000 0.000
0.000 3.427 0.000
0.000 0.000 12.468
Ho Cu Ru
4 1 1
Cartesian
0.000 0.000 1.635
0.000 0.000 10.833
1.713 1.713 4.528
1.713 1.713 7.940
0.000 0.000 6.234
1.713 1.713 0.000
```

* VASP energy: -5.508 eV per atom
* spin magnetization: 0.00 μB/cell
* formation enthalpy at 0 K: -0.23 eV/atom
* crystal system: tetragonal
* polymorph energy (0 for the lowest one): 0.0 meV per atom


- Look up the VASP energy of the ninth one.
  -5.962 eV per atom